[1]
LiYC | PBE | optimized geometry

Properties
Crystal system: hexagonal
E above lowest polymorph, meV per atom: 133
ΔE_f, kJ/mol of atoms: -0.2
Total magnetic moment, μB/f.u.: 0.30
Mass density, g/cm3: 3.255
Total DFT energy (no corrections), eV/f.u.: -17.61

Cell and atoms, written as extended XYZ:
```
6
Lattice="3.566 0.000 0.000 -1.783 3.088 0.000 0.000 0.000 9.993" Properties=species:S:1:pos:R:3 pbc="T T T"
Li 0.000 0.000 0.000
Li 0.000 0.000 4.997
Y 1.783 1.029 2.268
Y 1.783 1.029 7.725
C 0.000 2.059 0.671
C 0.000 2.059 9.322
```



[2]
ZrTaTe2 | PBE | optimized geometry

Properties
Crystal system: monoclinic
E above lowest polymorph, meV per atom: 125
Total magnetic moment, μB/f.u.: 0.00
ΔE_f (raw), kJ/mol of formula units: -111
Mass density, g/cm3: 9.954
Total DFT energy (no corrections), eV/f.u.: -27.83

Cell and atoms, written as extended XYZ:
```
4
Lattice="4.995 -1.767 0.000 4.995 1.767 0.000 -1.273 0.000 4.984" Properties=species:S:1:pos:R:3 pbc="T T T"
Zr 0.000 0.000 0.000
Ta 1.574 0.000 3.270
Te 4.415 0.000 2.582
Te 7.203 0.000 0.721
```



[3]
IrOs2Au | PBE | optimized geometry

Properties
Crystal system: tetragonal
E above lowest polymorph, meV per atom: 379
ΔE_f, kJ/mol of atoms: 61.2
Total magnetic moment, μB/f.u.: 0.00
Mass density, g/cm3: 21.105
Total DFT energy (no corrections), eV/f.u.: -32.06

Cell and atoms, written as extended XYZ:
```
4
Lattice="3.922 0.000 0.000 0.000 3.922 0.000 0.000 0.000 3.937" Properties=species:S:1:pos:R:3 pbc="T T T"
Ir 0.000 0.000 0.000
Os 0.000 1.961 1.968
Os 1.961 0.000 1.968
Au 1.961 1.961 0.000
```